No. 1
An optimized crystal structure of RbS5F, computed with PBE.

```
data_RbS5F
_symmetry_space_group_name_H-M 'P 1'
_symmetry_Int_Tables_number 1
_cell_length_a 4.515
_cell_length_b 6.573
_cell_length_c 7.106
_cell_angle_alpha 113.46
_cell_angle_beta 96.95
_cell_angle_gamma 102.02
loop_
_symmetry_equiv_pos_as_xyz
'x,y,z'
loop_
_atom_site_label
_atom_site_type_symbol
_atom_site_fract_x
_atom_site_fract_y
_atom_site_fract_z
_atom_site_occupancy
Rb1 Rb 0.000 0.000 0.000 1
S1 S 0.013 0.779 0.387 1
S2 S 0.035 0.422 0.761 1
S3 S 0.339 0.456 0.564 1
S4 S 0.603 0.228 0.552 1
S5 S 0.603 0.594 0.207 1
F1 F 0.609 0.279 0.064 1
```

No. 2
An optimized crystal structure of Rb2S2F, computed with PBE.

```
data_Rb2S2F
_symmetry_space_group_name_H-M 'P 4/m b m'
_symmetry_Int_Tables_number 127
_symmetry_space_group_name_Hall '-P 4 2ab'
_cell_length_a 7.755
_cell_length_b 7.755
_cell_length_c 5.344
_cell_angle_alpha 90.00
_cell_angle_beta 90.00
_cell_angle_gamma 90.00
loop_
_atom_site_label
_atom_site_type_symbol
_atom_site_fract_x
_atom_site_fract_y
_atom_site_fract_z
_atom_site_occupancy
Rb1 Rb 0.201 0.299 0.000 1
S1 S 0.091 0.591 0.500 1
F1 F 0.000 0.000 0.000 1
```

No. 3
# PBE RbSF2, optimized geometry
data_RbSF2
_symmetry_space_group_name_H-M 'F m -3 m'
_symmetry_Int_Tables_number 225
_symmetry_space_group_name_Hall '-F 4 2 3'
_cell_length_a 6.693
_cell_length_b 6.693
_cell_length_c 6.693
_cell_angle_alpha 90.00
_cell_angle_beta 90.00
_cell_angle_gamma 90.00
loop_
_atom_site_label
_atom_site_type_symbol
_atom_site_fract_x
_atom_site_fract_y
_atom_site_fract_z
_atom_site_occupancy
Rb1 Rb 0.000 0.000 0.000 1
S1 S 0.000 0.000 0.500 1
F1 F 0.250 0.250 0.250 1
# * offset from the most stable computed form: 584 meV/atom

No. 4
# PBE Rb2SF2, optimized geometry
data_Rb2SF2
_symmetry_space_group_name_H-M 'I 4/m m m'
_symmetry_Int_Tables_number 139
_symmetry_space_group_name_Hall '-I 4 2'
_cell_length_a 5.660
_cell_length_b 5.660
_cell_length_c 8.385
_cell_angle_alpha 90.00
_cell_angle_beta 90.00
_cell_angle_gamma 90.00
loop_
_atom_site_label
_atom_site_type_symbol
_atom_site_fract_x
_atom_site_fract_y
_atom_site_fract_z
_atom_site_occupancy
Rb1 Rb 0.000 0.500 0.250 1
S1 S 0.000 0.000 0.000 1
F1 F 0.000 0.000 0.241 1
# * offset from the most stable computed form: 0 meV/atom

No. 5
# PBE Rb3SF, optimized geometry
data_Rb3SF
_symmetry_space_group_name_H-M 'P m -3 m'
_symmetry_Int_Tables_number 221
_symmetry_space_group_name_Hall '-P 4 2 3'
_cell_length_a 5.382
_cell_length_b 5.382
_cell_length_c 5.382
_cell_angle_alpha 90.00
_cell_angle_beta 90.00
_cell_angle_gamma 90.00
loop_
_atom_site_label
_atom_site_type_symbol
_atom_site_fract_x
_atom_site_fract_y
_atom_site_fract_z
_atom_site_occupancy
Rb1 Rb 0.000 0.000 0.500 1
S1 S 0.500 0.500 0.500 1
F1 F 0.000 0.000 0.000 1
# * offset from the most stable computed form: 28 meV/atom

No. 6
An optimized crystal structure of RbSbSF2, computed with PBE.

```
data_RbSbSF2
_symmetry_space_group_name_H-M 'P 4 m m'
_symmetry_Int_Tables_number 99
_cell_length_a 4.589
_cell_length_b 4.589
_cell_length_c 5.898
_cell_angle_alpha 90.00
_cell_angle_beta 90.00
_cell_angle_gamma 90.00
loop_
_symmetry_equiv_pos_as_xyz
'x,y,z'
'-y,x,z'
'-x,-y,z'
'y,-x,z'
'-x,y,z'
'y,x,z'
'x,-y,z'
'-y,-x,z'
loop_
_atom_site_label
_atom_site_type_symbol
_atom_site_fract_x
_atom_site_fract_y
_atom_site_fract_z
_atom_site_occupancy
Rb1 Rb 0.000 0.000 0.000 1
Sb1 Sb 0.500 0.500 0.430 1
S1 S 0.500 0.500 0.824 1
F1 F 0.000 0.500 0.380 1
```

No. 7
An optimized crystal structure of Rb2ScSF6, computed with PBE.

```
data_Rb2ScSF6
_symmetry_space_group_name_H-M 'I 4/m m m'
_symmetry_Int_Tables_number 139
_symmetry_space_group_name_Hall '-I 4 2'
_cell_length_a 6.010
_cell_length_b 6.010
_cell_length_c 10.627
_cell_angle_alpha 90.00
_cell_angle_beta 90.00
_cell_angle_gamma 90.00
loop_
_atom_site_label
_atom_site_type_symbol
_atom_site_fract_x
_atom_site_fract_y
_atom_site_fract_z
_atom_site_occupancy
Rb1 Rb 0.000 0.500 0.250 1
Sc1 Sc 0.000 0.000 0.000 1
S1 S 0.000 0.000 0.500 1
F1 F 0.000 0.000 0.189 1
F2 F 0.240 0.240 0.000 1
```

No. 8
An optimized crystal structure of Rb2SeSF6, computed with PBE.

```
data_Rb2SeSF6
_symmetry_space_group_name_H-M 'I 4/m m m'
_symmetry_Int_Tables_number 139
_symmetry_space_group_name_Hall '-I 4 2'
_cell_length_a 6.510
_cell_length_b 6.510
_cell_length_c 9.782
_cell_angle_alpha 90.00
_cell_angle_beta 90.00
_cell_angle_gamma 90.00
loop_
_atom_site_label
_atom_site_type_symbol
_atom_site_fract_x
_atom_site_fract_y
_atom_site_fract_z
_atom_site_occupancy
Rb1 Rb 0.000 0.500 0.250 1
Se1 Se 0.000 0.000 0.000 1
S1 S 0.000 0.000 0.500 1
F1 F 0.000 0.000 0.199 1
F2 F 0.205 0.205 0.500 1
```

Sequential total magnetization output: 0.000 1.000 3.000 0.000 0.000 0.000 1.000 2.000 μB per formula unit
Sequential ΔE_f (raw) output: -51.4 -125.5 -89.4 -174.5 -153.5 -169.3 -249.9 -162.5 kJ per mole of atoms
Sequential calculated total energy output: -3.8860 -3.7132 -3.1359 -3.7695 -3.3716 -4.3462 -4.9521 -3.7618 eV per atom